Record 1
DyYRuO6: relaxed, PBE.

Computed properties:
The value obtained for the energy is -7.830 eV per atom. For the formation energy (no corrections), the calculation gives -20.38 eV/f.u.

Structure (CIF):
```
data_DyYRuO6
_chemical_formula_sum 'Dy2 Y2 Ru2 O12'
_symmetry_space_group_name_H-M 'P -3 1 c'
_symmetry_Int_Tables_number 163
_symmetry_space_group_name_Hall '-P 3 2c'
_cell_length_a 5.4834
_cell_length_b 5.4834
_cell_length_c 9.4898
_cell_angle_alpha 90.00
_cell_angle_beta 90.00
_cell_angle_gamma 120.00
loop_
_atom_site_label
_atom_site_fract_x
_atom_site_fract_y
_atom_site_fract_z
Dy1 0.3333 0.6667 0.2500
Y1 0.0000 0.0000 0.0000
Ru1 0.3333 0.6667 0.7500
O1 0.0430 0.3698 0.6344
```



Record 2
MgTa2AlS: relaxed, PBE.

Computed properties:
The value obtained for the energy is -6.248 eV per atom. For the formation energy (no corrections), the calculation gives 1.93 eV/f.u.

Structure (CIF):
```
data_MgTa2AlS
_chemical_formula_sum 'Mg1 Ta2 Al1 S1'
_symmetry_space_group_name_H-M 'P 4/m m m'
_symmetry_Int_Tables_number 123
_symmetry_space_group_name_Hall '-P 4 2'
_cell_length_a 4.567
_cell_length_b 4.567
_cell_length_c 4.698
_cell_angle_alpha 90.00
_cell_angle_beta 90.00
_cell_angle_gamma 90.00
loop_
_atom_site_label
_atom_site_fract_x
_atom_site_fract_y
_atom_site_fract_z
Mg1 0.000 0.000 0.000
Ta1 0.000 0.500 0.500
Al1 0.500 0.500 0.000
S1 0.500 0.500 0.500
```



Record 3
LaPa2S6: relaxed, PBE.

Computed properties:
The value obtained for the energy is -7.097 eV per atom. For the formation energy (no corrections), the calculation gives -15.19 eV/f.u.

Structure (CIF):
```
data_LaPa2S6
_chemical_formula_sum 'La2 Pa4 S12'
_symmetry_space_group_name_H-M 'C 1 2/m 1'
_symmetry_Int_Tables_number 12
_cell_length_a 13.601
_cell_length_b 5.180
_cell_length_c 9.089
_cell_angle_alpha 90.00
_cell_angle_beta 125.27
_cell_angle_gamma 90.00
loop_
_symmetry_equiv_pos_as_xyz
'x,y,z'
'-x,-y,-z'
'-x,y,-z'
'x,-y,z'
'x+1/2,y+1/2,z'
'-x+1/2,-y+1/2,-z'
'-x+1/2,y+1/2,-z'
'x+1/2,-y+1/2,z'
loop_
_atom_site_label
_atom_site_fract_x
_atom_site_fract_y
_atom_site_fract_z
La1 0.000 0.000 0.000
Pa1 0.183 0.000 0.606
S1 0.033 0.000 0.709
S2 0.136 0.500 0.068
S3 0.239 0.500 0.618
```



Record 4
LiSc2Pt4: relaxed, PBE.

Computed properties:
The value obtained for the energy is -6.466 eV per atom.

Structure (CIF):
```
data_LiSc2Pt4
_chemical_formula_sum 'Li1 Sc2 Pt4'
_symmetry_space_group_name_H-M 'P 4/m m m'
_symmetry_Int_Tables_number 123
_symmetry_space_group_name_Hall '-P 4 2'
_cell_length_a 4.073
_cell_length_b 4.073
_cell_length_c 7.344
_cell_angle_alpha 90.00
_cell_angle_beta 90.00
_cell_angle_gamma 90.00
loop_
_atom_site_label
_atom_site_fract_x
_atom_site_fract_y
_atom_site_fract_z
Li1 0.000 0.000 0.000
Sc1 0.000 0.000 0.500
Sc2 0.500 0.500 0.000
Pt1 0.000 0.500 0.249
```



Record 5
ZnNiRh: relaxed, PBE.

Computed properties:
The value obtained for the energy is -4.944 eV per atom.

Structure (CIF):
```
data_ZnNiRh
_chemical_formula_sum 'Zn2 Ni2 Rh2'
_symmetry_space_group_name_H-M 'I 4 m m'
_symmetry_Int_Tables_number 107
_symmetry_space_group_name_Hall 'I 4 -2'
_cell_length_a 2.751
_cell_length_b 2.751
_cell_length_c 10.281
_cell_angle_alpha 90.00
_cell_angle_beta 90.00
_cell_angle_gamma 90.00
loop_
_atom_site_label
_atom_site_fract_x
_atom_site_fract_y
_atom_site_fract_z
Zn1 0.000 0.000 0.000
Ni1 0.000 0.000 0.659
Rh1 0.000 0.000 0.324
```



Record 6
TaMn2Br: relaxed, PBE.

Computed properties:
The value obtained for the energy is -7.512 eV per atom. For the formation energy (no corrections), the calculation gives 1.82 eV/f.u.

Structure (CIF):
```
data_TaMn2Br
_chemical_formula_sum 'Ta3 Mn6 Br3'
_symmetry_space_group_name_H-M 'R 3 m'
_symmetry_Int_Tables_number 160
_symmetry_space_group_name_Hall 'R 3 -2"'
_cell_length_a 3.0749
_cell_length_b 3.0749
_cell_length_c 27.8533
_cell_angle_alpha 90.00
_cell_angle_beta 90.00
_cell_angle_gamma 120.00
loop_
_atom_site_label
_atom_site_fract_x
_atom_site_fract_y
_atom_site_fract_z
Ta1 0.0000 0.0000 0.0000
Mn1 0.0000 0.0000 0.4822
Mn2 0.0000 0.0000 0.7426
Br1 0.0000 0.0000 0.2616
```



Record 7
Re2OsSe: relaxed, PBE.

Computed properties:
The value obtained for the energy is -9.429 eV per atom. For the formation energy (no corrections), the calculation gives 1.90 eV/f.u.

Structure (CIF):
```
data_Re2OsSe
_chemical_formula_sum 'Re4 Os2 Se2'
_symmetry_space_group_name_H-M 'A m m 2'
_symmetry_Int_Tables_number 38
_cell_length_a 4.070
_cell_length_b 2.848
_cell_length_c 10.451
_cell_angle_alpha 90.00
_cell_angle_beta 90.00
_cell_angle_gamma 90.00
loop_
_symmetry_equiv_pos_as_xyz
'x,y,z'
'-x,-y,z'
'-x,y,z'
'x,-y,z'
'x,y+1/2,z+1/2'
'-x,-y+1/2,z+1/2'
'-x,y+1/2,z+1/2'
'x,-y+1/2,z+1/2'
loop_
_atom_site_label
_atom_site_fract_x
_atom_site_fract_y
_atom_site_fract_z
Re1 0.000 0.000 0.000
Re2 0.500 0.000 0.366
Os1 0.000 0.000 0.745
Se1 0.500 0.000 0.134
```



Record 8
Pm8Cd3Rh2: relaxed, PBE.

Computed properties:
The value obtained for the energy is -4.536 eV per atom.

Structure (CIF):
```
data_Pm8Cd3Rh2
_chemical_formula_sum 'Pm16 Cd6 Rh4'
_symmetry_space_group_name_H-M 'C 1 2/m 1'
_symmetry_Int_Tables_number 12
_cell_length_a 17.106
_cell_length_b 7.863
_cell_length_c 6.040
_cell_angle_alpha 90.00
_cell_angle_beta 106.93
_cell_angle_gamma 90.00
loop_
_symmetry_equiv_pos_as_xyz
'x,y,z'
'-x,-y,-z'
'-x,y,-z'
'x,-y,z'
'x+1/2,y+1/2,z'
'-x+1/2,-y+1/2,-z'
'-x+1/2,y+1/2,-z'
'x+1/2,-y+1/2,z'
loop_
_atom_site_label
_atom_site_fract_x
_atom_site_fract_y
_atom_site_fract_z
Pm1 0.087 0.000 0.265
Pm2 0.147 0.238 0.808
Pm3 0.189 0.500 0.337
Cd1 0.000 0.328 0.000
Cd2 0.000 0.500 0.500
Rh1 0.235 0.000 0.152
```



Record 9
GeOsOF2: relaxed, PBE.

Computed properties:
The value obtained for the energy is -4.857 eV per atom. For the formation energy (no corrections), the calculation gives 0.26 eV/f.u.

Structure (CIF):
```
data_GeOsOF2
_chemical_formula_sum 'Ge1 Os1 O1 F2'
_symmetry_space_group_name_H-M 'P 4/m m m'
_symmetry_Int_Tables_number 123
_symmetry_space_group_name_Hall '-P 4 2'
_cell_length_a 4.451
_cell_length_b 4.451
_cell_length_c 3.697
_cell_angle_alpha 90.00
_cell_angle_beta 90.00
_cell_angle_gamma 90.00
loop_
_atom_site_label
_atom_site_fract_x
_atom_site_fract_y
_atom_site_fract_z
Ge1 0.000 0.000 0.000
Os1 0.500 0.500 0.500
O1 0.000 0.000 0.500
F1 0.000 0.500 0.000
```



Record 10
Na4Tm3TiSe8: relaxed, PBE.

Computed properties:
The value obtained for the energy is -4.945 eV per atom. For the formation energy (no corrections), the calculation gives -24.66 eV/f.u.

Structure (CIF):
```
data_Na4Tm3TiSe8
_chemical_formula_sum 'Na12 Tm9 Ti3 Se24'
_symmetry_space_group_name_H-M 'R -3 m'
_symmetry_Int_Tables_number 166
_symmetry_space_group_name_Hall '-R 3 2"'
_cell_length_a 8.0463
_cell_length_b 8.0463
_cell_length_c 20.9921
_cell_angle_alpha 90.00
_cell_angle_beta 90.00
_cell_angle_gamma 120.00
loop_
_atom_site_label
_atom_site_fract_x
_atom_site_fract_y
_atom_site_fract_z
Na1 0.0000 0.0000 0.0000
Na2 0.0000 0.5000 0.0000
Tm1 0.0000 0.5000 0.5000
Ti1 0.0000 0.0000 0.5000
Se1 0.0000 0.0000 0.2431
Se2 0.0146 0.5073 0.2403
```



Record 11
TbMg4Au5: relaxed, PBE.

Computed properties:
The value obtained for the energy is -3.392 eV per atom.

Structure (CIF):
```
data_TbMg4Au5
_chemical_formula_sum 'Tb1 Mg4 Au5'
_symmetry_space_group_name_H-M 'P 4/m m m'
_symmetry_Int_Tables_number 123
_symmetry_space_group_name_Hall '-P 4 2'
_cell_length_a 3.404
_cell_length_b 3.404
_cell_length_c 16.554
_cell_angle_alpha 90.00
_cell_angle_beta 90.00
_cell_angle_gamma 90.00
loop_
_atom_site_label
_atom_site_fract_x
_atom_site_fract_y
_atom_site_fract_z
Tb1 0.000 0.000 0.000
Mg1 0.000 0.000 0.213
Mg2 0.000 0.000 0.405
Au1 0.500 0.500 0.117
Au2 0.500 0.500 0.309
Au3 0.500 0.500 0.500
```



Record 12
RbLi2GaIr: relaxed, PBE.

Computed properties:
The value obtained for the energy is -3.374 eV per atom.

Structure (CIF):
```
data_RbLi2GaIr
_chemical_formula_sum 'Rb1 Li2 Ga1 Ir1'
_symmetry_space_group_name_H-M 'P 4/m m m'
_symmetry_Int_Tables_number 123
_symmetry_space_group_name_Hall '-P 4 2'
_cell_length_a 5.065
_cell_length_b 5.065
_cell_length_c 4.837
_cell_angle_alpha 90.00
_cell_angle_beta 90.00
_cell_angle_gamma 90.00
loop_
_atom_site_label
_atom_site_fract_x
_atom_site_fract_y
_atom_site_fract_z
Rb1 0.000 0.000 0.000
Li1 0.000 0.500 0.500
Ga1 0.500 0.500 0.000
Ir1 0.500 0.500 0.500
```